Record 1
The following is a DFT calculation (PBEsol) of a geometry-optimized MgAgOs structure.

Computed properties:
Its space-group type is P3m1, No. 156. As for the total energy: -5.306 eV/atom. The spin magnetization comes out at 0.00 μB per formula unit.

Geometry as extended XYZ:
```
3
Lattice="2.609 0.000 0.000 0.000 4.560 0.000 0.000 -2.280 3.949" Properties=species:S:1:pos:R:3 pbc="T T T"
Ag 2.305 0.000 0.000
Mg 2.028 0.000 2.633
Os 0.886 2.280 1.316
```

---

Record 2
The following is a DFT calculation (PBEsol) of a geometry-optimized YTcSb2Te structure.

Computed properties:
As for the formation energy without anion corrections: 152 meV per atom. Its space-group type is P4/mmm, No. 123. The value obtained for the excess energy over the best structure of this formula in the dataset is 0.000 eV per atom. The spin magnetization comes out at 0.00 μB per formula unit.

Geometry as extended XYZ:
```
5
Lattice="-4.182 -2.009 1.722 2.375 -1.428 4.101 -1.350 4.958 2.507" Properties=species:S:1:pos:R:3 pbc="T T T"
Y -1.578 0.760 4.165
Sb 1.187 -0.714 2.050
Sb -2.091 -1.005 0.861
Te -0.675 2.479 1.254
Tc 0.000 0.000 0.000
```

---

Record 3
The following is a DFT calculation (PBEsol) of a geometry-optimized CaHCl3 structure.

Computed properties:
Its space-group type is Pm-3m, No. 221. As for the total energy: -3.293 eV/atom. The spin magnetization comes out at 0.00 μB per formula unit.

Geometry as extended XYZ:
```
5
Lattice="-3.416 -2.438 1.418 -1.374 -0.507 -4.181 2.463 -3.664 -0.365" Properties=species:S:1:pos:R:3 pbc="T T T"
H 0.000 0.000 0.000
Ca -1.163 -3.305 -1.564
Cl -0.687 -0.254 -2.091
Cl 1.232 -1.832 -0.183
Cl -1.708 -1.219 0.709
```

---

Record 4
The following is a DFT calculation (PBEsol) of a geometry-optimized Re2SbAu structure.

Computed properties:
As for the formation energy without anion corrections: 1020 meV per atom. Its space-group type is Cmmm, No. 65. The spin magnetization comes out at 0.00 μB per formula unit.

Geometry as extended XYZ:
```
4
Lattice="-0.668 1.944 -1.919 -2.044 -1.553 1.147 -1.086 6.795 7.263" Properties=species:S:1:pos:R:3 pbc="T T T"
Au -1.356 0.196 -0.386
Re -0.260 1.627 1.739
Re -0.826 5.168 5.524
Sb -1.899 3.593 3.246
```

---

Record 5
The following is a DFT calculation (PBEsol) of a geometry-optimized HfMnTl2Cr structure.

Computed properties:
Its space-group type is P4/mmm, No. 123. As for the total energy: -5.665 eV/atom. The spin magnetization comes out at 6.92 μB per formula unit.

Geometry as extended XYZ:
```
5
Lattice="4.560 0.000 0.000 0.000 5.491 0.000 0.000 0.000 5.491" Properties=species:S:1:pos:R:3 pbc="T T T"
Cr 2.280 0.000 0.000
Tl 0.000 0.000 2.745
Tl 0.000 2.745 0.000
Mn 2.280 2.745 2.745
Hf 0.000 0.000 0.000
```

---

Record 6
The following is a DFT calculation (PBEsol) of a geometry-optimized Mo5O12F3 structure.

Computed properties:
As for the formation energy without anion corrections: -2139 meV per atom. Its space-group type is P-1, No. 2. The spin magnetization comes out at 0.00 μB per formula unit.

Geometry as extended XYZ:
```
20
Lattice="5.445 0.003 -0.004 0.086 6.609 0.032 2.677 1.942 7.717" Properties=species:S:1:pos:R:3 pbc="T T T"
Mo 2.909 2.028 7.658
Mo 5.628 4.135 6.199
Mo 2.579 6.501 4.630
Mo 5.213 2.000 3.139
Mo 2.765 4.347 1.556
O 4.184 3.056 6.964
O 6.907 3.097 6.914
O 6.825 5.320 5.412
O 2.773 7.507 6.201
O 3.940 0.969 3.834
O 6.748 7.544 3.910
O 5.434 3.129 4.628
O 2.745 5.390 3.100
O 4.021 3.199 2.332
O 1.508 5.494 0.781
O 5.445 1.044 1.538
O 5.462 5.246 7.729
F 4.102 5.317 5.415
F 1.317 3.234 2.302
F 4.212 5.461 0.810
```

---

Record 7
The following is a DFT calculation (PBEsol) of a geometry-optimized Mg3ZnCu structure.

Computed properties:
Its space-group type is I4mm, No. 107. The value obtained for the excess energy over the best structure of this formula in the dataset is 0.000 eV per atom. The spin magnetization comes out at 0.00 μB per formula unit.

Geometry as extended XYZ:
```
5
Lattice="3.975 0.000 0.000 0.000 3.975 0.000 -1.988 -1.988 7.080" Properties=species:S:1:pos:R:3 pbc="T T T"
Cu 0.000 0.000 3.732
Mg 1.988 0.000 1.887
Mg 0.000 1.988 1.887
Mg 1.988 1.988 4.297
Zn 1.988 1.988 6.928
```

---

Record 8
The following is a DFT calculation (PBEsol) of a geometry-optimized AuC2 structure.

Computed properties:
Its space-group type is R3m, No. 160. The value obtained for the excess energy over the best structure of this formula in the dataset is 0.750 eV per atom. The spin magnetization comes out at 0.00 μB per formula unit.

Geometry as extended XYZ:
```
3
Lattice="3.501 0.000 0.000 1.750 3.032 0.000 1.750 1.011 4.069" Properties=species:S:1:pos:R:3 pbc="T T T"
C 1.750 1.011 1.134
C 3.501 2.021 3.913
Au 1.750 1.011 3.090
```

---

Record 9
The following is a DFT calculation (PBEsol) of a geometry-optimized Zn2CdRe structure.

Computed properties:
Its space-group type is Pmmm, No. 47. As for the total energy: -4.121 eV/atom. The spin magnetization comes out at 0.00 μB per formula unit.

Geometry as extended XYZ:
```
4
Lattice="-1.138 2.099 -1.237 -3.605 -1.703 0.427 -0.638 2.614 5.034" Properties=species:S:1:pos:R:3 pbc="T T T"
Cd -2.371 0.198 -0.405
Re -2.690 1.505 2.112
Zn -0.460 1.882 3.620
Zn -1.316 2.831 0.177
```

---

Record 10
The following is a DFT calculation (PBEsol) of a geometry-optimized ScAs2Br structure.

Computed properties:
As for the formation energy without anion corrections: -159 meV per atom. Its space-group type is P4/mmm, No. 123. The spin magnetization comes out at 0.00 μB per formula unit.

Geometry as extended XYZ:
```
4
Lattice="-2.443 -1.864 0.616 1.152 -2.831 -3.994 2.932 -2.887 2.892" Properties=species:S:1:pos:R:3 pbc="T T T"
As 1.466 -1.444 1.446
As 0.576 -1.415 -1.997
Br 0.820 -3.791 -0.243
Sc -1.222 -0.932 0.308
```

---

Record 11
The following is a DFT calculation (PBEsol) of a geometry-optimized KFe2Ni structure.

Computed properties:
Its space-group type is Cm, No. 8. The value obtained for the excess energy over the best structure of this formula in the dataset is 0.000 eV per atom. The spin magnetization comes out at 5.86 μB per formula unit.

Geometry as extended XYZ:
```
4
Lattice="-1.204 1.982 -1.257 -2.642 -1.556 2.844 2.869 4.484 4.322" Properties=species:S:1:pos:R:3 pbc="T T T"
Fe -3.810 0.473 1.628
Fe 0.680 3.538 4.928
K -1.810 1.644 4.325
Ni -1.692 1.357 0.994
```

---

Record 12
The following is a DFT calculation (PBEsol) of a geometry-optimized NdSi2 structure.

Computed properties:
As for the formation energy without anion corrections: -674 meV per atom. Its space-group type is I4_1/amd, No. 141. The spin magnetization comes out at 0.00 μB per formula unit.

Geometry as extended XYZ:
```
6
Lattice="-3.950 -0.002 1.212 -0.518 -3.732 -1.697 4.096 -1.149 6.308" Properties=species:S:1:pos:R:3 pbc="T T T"
Si 0.360 -2.868 1.167
Si -0.684 -4.377 4.806
Si 0.984 -3.880 3.201
Si 0.312 -0.506 1.017
Nd -2.234 -1.867 -0.242
Nd -1.044 -1.509 3.639
```

---

The highest spin magnetization belongs to which entry? HfMnTl2Cr